No. 1
Below is a geometry-optimized ScU3Sb5 structure, with properties calculated at the PBE level.

Lattice parameters (Å, degrees): 9.2221 9.2221 6.1977 90.00 90.00 120.00
Space group P6_3/mcm (No. 193)
Unique sites:
Sc1 0.0000 0.0000 0.0000 [2 per cell]
U1 0.0000 0.3873 0.2500 [6 per cell]
Sb1 0.0000 0.2688 0.7500 [6 per cell]
Sb2 0.3333 0.6667 0.0000 [4 per cell]

Values from the calculation:
The calculation puts the density of states at the Fermi level at 2.01 states/eV/atom. Its uncorrected energy is -7.220 eV per atom. The calculation puts the uncorrected formation energy at -0.464 eV per atom.



No. 2
Below is a geometry-optimized AcPrAg2Sn2 structure, with properties calculated at the PBE level.

Lattice parameters (Å, degrees): 4.8480 4.8480 8.2217 90.00 90.00 120.00
Space group P-3m1 (No. 164)
Unique sites:
Ac1 0.0000 0.0000 0.0000 [1 per cell]
Pr1 0.0000 0.0000 0.5000 [1 per cell]
Ag1 0.3333 0.6667 0.7201 [2 per cell]
Sn1 0.3333 0.6667 0.2632 [2 per cell]

Values from the calculation:
The calculation puts the density of states at the Fermi level at 0.43 states/eV/atom. The value obtained for the calculated formation energy is -0.600 eV per atom. Its uncorrected energy is -4.366 eV per atom.



No. 3
Below is a geometry-optimized LiInSi2Se6 structure, with properties calculated at the PBE level.

Lattice parameters (Å, degrees): 13.5602 12.5676 6.8657 90.00 113.95 90.00
Space group C2/c (No. 15)
Unique sites:
Li1 0.0000 0.1802 0.2500 [4 per cell]
In1 0.0000 0.2041 0.7500 [4 per cell]
Si1 0.2067 0.4212 0.2328 [8 per cell]
Se1 0.1094 0.0705 0.6013 [8 per cell]
Se2 0.1305 0.4462 0.4816 [8 per cell]
Se3 0.1478 0.2496 0.1302 [8 per cell]

Values from the calculation:
Its uncorrected energy is -4.148 eV per atom. The calculation puts the uncorrected formation energy at -0.507 eV per atom.



No. 4
Below is a geometry-optimized KNa2Ho structure, with properties calculated at the PBE level.

Lattice parameters (Å, degrees): 3.6171 3.6171 42.6950 90.00 90.00 120.00
Space group R-3m (No. 166, hexagonal axes)
Unique sites:
K1 0.0000 0.0000 0.0000 [3 per cell]
Na1 0.0000 0.0000 0.4198 [6 per cell]
Ho1 0.0000 0.0000 0.5000 [3 per cell]

Values from the calculation:
The calculation puts the density of states at the Fermi level at 0.95 states/eV/atom. The value obtained for the calculated formation energy is 0.333 eV per atom. Its uncorrected energy is -1.745 eV per atom.



No. 5
Below is a geometry-optimized AcPtS structure, with properties calculated at the PBE level.

Lattice parameters (Å, degrees): 4.4215 4.4215 4.0612 90.00 90.00 120.00
Space group P-6m2 (No. 187)
Unique sites:
Ac1 0.0000 0.0000 0.0000 [1 per cell]
Pt1 0.6667 0.3333 0.5000 [1 per cell]
S1 0.3333 0.6667 0.5000 [1 per cell]

Values from the calculation:
The calculation puts the density of states at the Fermi level at 0.50 states/eV/atom. Its uncorrected energy is -5.997 eV per atom. The calculation puts the uncorrected formation energy at -1.238 eV per atom.



No. 6
Below is a geometry-optimized Pa2Ni9Sn structure, with properties calculated at the PBE level.

Lattice parameters (Å, degrees): 3.8576 3.8576 11.3264 90.00 90.00 90.00
Space group P4/mmm (No. 123)
Unique sites:
Pa1 0.0000 0.0000 0.1762 [2 per cell]
Ni1 0.0000 0.5000 0.0000 [2 per cell]
Ni2 0.0000 0.5000 0.3338 [4 per cell]
Ni3 0.5000 0.5000 0.1640 [2 per cell]
Ni4 0.5000 0.5000 0.5000 [1 per cell]
Sn1 0.0000 0.0000 0.5000 [1 per cell]

Values from the calculation:
The calculation puts the density of states at the Fermi level at 0.79 states/eV/atom. The value obtained for the distance to the lowest polymorph of the same formula is 0 meV per atom. The value obtained for the calculated formation energy is -0.296 eV per atom. Its uncorrected energy is -6.548 eV per atom.



No. 7
Below is a geometry-optimized Ba2ZnGeO structure, with properties calculated at the PBE level.

Lattice parameters (Å, degrees): 7.2072 4.3410 9.1232 90.00 108.29 90.00
Space group P2_1/m (No. 11)
Unique sites:
Ba1 0.1981 0.2500 0.3886 [2 per cell]
Ba2 0.2133 0.2500 0.9631 [2 per cell]
Zn1 0.4700 0.7500 0.2485 [2 per cell]
Ge1 0.3454 0.7500 0.7042 [2 per cell]
O1 0.1703 0.7500 0.1642 [2 per cell]

Values from the calculation:
The calculation puts the density of states at the Fermi level at 0.04 states/eV/atom. Its uncorrected energy is -4.135 eV per atom. The calculation puts the uncorrected formation energy at -1.196 eV per atom.



No. 8
Below is a geometry-optimized NbCuTc structure, with properties calculated at the PBE level.

Lattice parameters (Å, degrees): 12.8161 3.2391 4.3704 90.00 93.13 90.00
Space group Cm (No. 8)
Unique sites:
Nb1 0.0000 0.0000 0.0000 [2 per cell]
Nb2 0.1847 0.0000 0.5275 [2 per cell]
Cu1 0.0107 0.5000 0.5074 [2 per cell]
Cu2 0.3552 0.5000 0.4630 [2 per cell]
Tc1 0.1683 0.5000 0.0373 [2 per cell]
Tc2 0.3378 0.0000 0.9633 [2 per cell]

Values from the calculation:
The calculation puts the density of states at the Fermi level at 0.69 states/eV/atom. The value obtained for the distance to the lowest polymorph of the same formula is 25 meV per atom. The value obtained for the calculated formation energy is 0.038 eV per atom. Its uncorrected energy is -8.140 eV per atom.



No. 9
Below is a geometry-optimized TaAl2Si2 structure, with properties calculated at the PBE level.

Lattice parameters (Å, degrees): 6.6697 6.6697 3.5441 90.00 90.00 90.00
Space group P4/mbm (No. 127)
Unique sites:
Ta1 0.0000 0.0000 0.0000 [2 per cell]
Al1 0.1679 0.3321 0.5000 [4 per cell]
Si1 0.1319 0.6319 0.0000 [4 per cell]

Values from the calculation:
The calculation puts the density of states at the Fermi level at 0.37 states/eV/atom. Its uncorrected energy is -6.113 eV per atom. The calculation puts the uncorrected formation energy at -0.076 eV per atom.



No. 10
Below is a geometry-optimized GaCuNiPd structure, with properties calculated at the PBE level.

Lattice parameters (Å, degrees): 5.9420 5.9420 5.9420 90.00 90.00 90.00
Space group F-43m (No. 216)
Unique sites:
Ga1 0.0000 0.0000 0.0000 [4 per cell]
Cu1 0.0000 0.0000 0.5000 [4 per cell]
Ni1 0.2500 0.2500 0.7500 [4 per cell]
Pd1 0.2500 0.2500 0.2500 [4 per cell]

Values from the calculation:
The calculation puts the density of states at the Fermi level at 0.55 states/eV/atom. The value obtained for the distance to the lowest polymorph of the same formula is 28 meV per atom. The value obtained for the calculated formation energy is -0.317 eV per atom. Its uncorrected energy is -4.841 eV per atom.



No. 11
Below is a geometry-optimized Zr8HCN4 structure, with properties calculated at the PBE level.

Lattice parameters (Å, degrees): 6.6214 6.6214 16.3446 90.00 90.00 120.00
Space group R3m (No. 160, hexagonal axes)
Unique sites:
Zr1 0.0000 0.0000 0.0000 [3 per cell]
Zr2 0.0000 0.0000 0.4921 [3 per cell]
Zr3 0.0119 0.5060 0.9999 [9 per cell]
Zr4 0.1704 0.3407 0.8282 [9 per cell]
H1 0.0000 0.0000 0.6208 [3 per cell]
C1 0.0000 0.0000 0.2492 [3 per cell]
N1 0.0000 0.0000 0.8749 [3 per cell]
N2 0.1692 0.3383 0.0796 [9 per cell]

Values from the calculation:
The calculation puts the density of states at the Fermi level at 0.26 states/eV/atom. Its uncorrected energy is -9.251 eV per atom.



No. 12
Below is a geometry-optimized NaB2C2 structure, with properties calculated at the PBE level.

Lattice parameters (Å, degrees): 5.4149 7.3318 8.0417 90.00 90.00 90.00
Space group Fddd (No. 70, origin choice 2)
Unique sites:
Na1 0.1250 0.1250 0.1250 [8 per cell]
B1 0.1250 0.2622 0.6250 [16 per cell]
C1 0.1250 0.1250 0.4565 [16 per cell]

Values from the calculation:
The calculation puts the density of states at the Fermi level at 0.20 states/eV/atom. The value obtained for the calculated formation energy is 0.364 eV per atom. Its uncorrected energy is -6.260 eV per atom.



No. 13
Below is a geometry-optimized Tl2Cd3InSn4 structure, with properties calculated at the PBE level.

Lattice parameters (Å, degrees): 4.7778 4.7778 12.9067 90.00 90.00 90.00
Space group P-4m2 (No. 115)
Unique sites:
Tl1 0.0000 0.5000 0.2384 [2 per cell]
Cd1 0.0000 0.5000 0.8579 [2 per cell]
Cd2 0.5000 0.5000 0.5000 [1 per cell]
In1 0.0000 0.0000 0.5000 [1 per cell]
Sn1 0.0000 0.0000 0.0000 [1 per cell]
Sn2 0.0000 0.5000 0.6400 [2 per cell]
Sn3 0.5000 0.5000 0.0000 [1 per cell]

Values from the calculation:
The calculation puts the density of states at the Fermi level at 0.37 states/eV/atom. The value obtained for the calculated formation energy is 0.046 eV per atom. Its uncorrected energy is -2.577 eV per atom.



No. 14
Below is a geometry-optimized Dy3MnSe6 structure, with properties calculated at the PBE level.

Lattice parameters (Å, degrees): 11.1503 13.7259 6.8305 90.00 90.00 90.00
Space group Cmc2_1 (No. 36)
Unique sites:
Dy1 0.0000 0.0993 0.0000 [4 per cell]
Dy2 0.1813 0.4016 0.9056 [8 per cell]
Mn1 0.0000 0.2976 0.3651 [4 per cell]
Se1 0.0000 0.2779 0.7229 [4 per cell]
Se2 0.0000 0.4612 0.2110 [4 per cell]
Se3 0.1627 0.0325 0.7033 [8 per cell]
Se4 0.1702 0.2340 0.1863 [8 per cell]

Values from the calculation:
The calculation puts the density of states at the Fermi level at 0.48 states/eV/atom. Its uncorrected energy is -5.838 eV per atom. The calculation puts the uncorrected formation energy at -1.449 eV per atom.



No. 15
Below is a geometry-optimized SrBr4 structure, with properties calculated at the PBE level.

Lattice parameters (Å, degrees): 6.0168 6.0168 6.0168 90.00 90.00 90.00
Space group Pm-3m (No. 221)
Unique sites:
Sr1 0.0000 0.0000 0.0000 [1 per cell]
Br1 0.0000 0.0000 0.5000 [3 per cell]
Br2 0.5000 0.5000 0.5000 [1 per cell]

Values from the calculation:
The calculation puts the density of states at the Fermi level at 1.98 states/eV/atom. Its uncorrected energy is -2.489 eV per atom. The calculation puts the uncorrected formation energy at -0.815 eV per atom.



No. 16
Below is a geometry-optimized RuSeO2 structure, with properties calculated at the PBE level.

Lattice parameters (Å, degrees): 3.0370 3.0370 19.2745 90.00 90.00 120.00
Space group R-3m (No. 166, hexagonal axes)
Unique sites:
Ru1 0.0000 0.0000 0.0000 [3 per cell]
Se1 0.0000 0.0000 0.5000 [3 per cell]
O1 0.0000 0.0000 0.3912 [6 per cell]

Values from the calculation:
The calculation puts the density of states at the Fermi level at 0.64 states/eV/atom. Its uncorrected energy is -6.003 eV per atom. The calculation puts the uncorrected formation energy at -0.334 eV per atom.



No. 17
Below is a geometry-optimized TaMnS2Cl structure, with properties calculated at the PBE level.

Lattice parameters (Å, degrees): 4.4166 4.4166 4.3281 90.00 90.00 90.00
Space group P4/mmm (No. 123)
Unique sites:
Ta1 0.0000 0.0000 0.0000 [1 per cell]
Mn1 0.5000 0.5000 0.5000 [1 per cell]
S1 0.0000 0.5000 0.5000 [2 per cell]
Cl1 0.5000 0.5000 0.0000 [1 per cell]

Values from the calculation:
The calculation puts the density of states at the Fermi level at 1.11 states/eV/atom. The value obtained for the distance to the lowest polymorph of the same formula is 679 meV per atom. Its uncorrected energy is -5.676 eV per atom. The calculation puts the uncorrected formation energy at 0.549 eV per atom.



No. 18
Below is a geometry-optimized ReAsRuBr2 structure, with properties calculated at the PBE level.

Lattice parameters (Å, degrees): 5.1843 5.1843 4.6919 90.00 90.00 90.00
Space group P4/mmm (No. 123)
Unique sites:
Re1 0.0000 0.0000 0.0000 [1 per cell]
As1 0.5000 0.5000 0.0000 [1 per cell]
Ru1 0.5000 0.5000 0.5000 [1 per cell]
Br1 0.0000 0.5000 0.5000 [2 per cell]

Values from the calculation:
The calculation puts the density of states at the Fermi level at 0.65 states/eV/atom. The value obtained for the distance to the lowest polymorph of the same formula is 10 meV per atom. Its uncorrected energy is -4.572 eV per atom. The calculation puts the uncorrected formation energy at 1.372 eV per atom.



No. 19
Below is a geometry-optimized La2NdGe2 structure, with properties calculated at the PBE level.

Lattice parameters (Å, degrees): 7.9680 7.9680 4.4847 90.00 90.00 90.00
Space group P4/mbm (No. 127)
Unique sites:
La1 0.1742 0.3258 0.0000 [4 per cell]
Nd1 0.0000 0.0000 0.5000 [2 per cell]
Ge1 0.1190 0.6190 0.5000 [4 per cell]

Values from the calculation:
The calculation puts the density of states at the Fermi level at 1.15 states/eV/atom. The value obtained for the calculated formation energy is -0.752 eV per atom. Its uncorrected energy is -5.524 eV per atom.



No. 20
Below is a geometry-optimized ZrCd2Pd9 structure, with properties calculated at the PBE level.

Lattice parameters (Å, degrees): 4.0180 4.0180 12.2115 90.00 90.00 90.00
Space group P4/mmm (No. 123)
Unique sites:
Zr1 0.0000 0.0000 0.0000 [1 per cell]
Cd1 0.0000 0.0000 0.3351 [2 per cell]
Pd1 0.0000 0.5000 0.1632 [4 per cell]
Pd2 0.0000 0.5000 0.5000 [2 per cell]
Pd3 0.5000 0.5000 0.0000 [1 per cell]
Pd4 0.5000 0.5000 0.3298 [2 per cell]

Values from the calculation:
The calculation puts the density of states at the Fermi level at 1.08 states/eV/atom. The value obtained for the calculated formation energy is -0.446 eV per atom. Its uncorrected energy is -5.206 eV per atom.